# AlCrPO2, relaxed, DFT GGA+U
# Mass density in g/cm³: 3.40
# ΔE to the lowest computed polymorph in kJ/mol of formula units: 130
data_AlCrPO2
_chemical_formula_sum 'Al1 Cr1 P1 O2'
_space_group_name_H-M_alt 'P 4/m m m'
_space_group_IT_number 123
_space_group_name_Hall '-P 4 2'
_cell_length_a 3.652
_cell_length_b 3.652
_cell_length_c 5.201
_cell_angle_alpha 90.00
_cell_angle_beta 90.00
_cell_angle_gamma 90.00
loop_
_atom_site_label
_atom_site_fract_x
_atom_site_fract_y
_atom_site_fract_z
Al1 0.000 0.000 0.000
Cr1 0.500 0.500 0.500
P1 0.500 0.500 0.000
O1 0.000 0.500 0.500